First-principles (GGA+U) data for a geometry-optimized Rb2MnVF6 structure, as listed in Alexandria via LeMat-Bulk.

Summary:
For the total energy, the calculation gives -5.578 eV per atom. Its density is 4.12 Mg/m³.

Unit cell a=6.062 b=6.062 c=6.060 alpha=59.99 beta=59.99 gamma=90.00
Atoms (fractional coordinates):
F 0.251 0.251 0.497
F 0.749 0.749 0.503
F 0.251 0.251 0.000
F 0.749 0.749 0.000
F 0.749 0.251 0.000
F 0.251 0.749 0.000
Mn 0.000 0.000 0.000
Rb 0.750 0.250 0.500
Rb 0.250 0.750 0.500
V 0.500 0.500 0.000